# PmY4Mg5

A relaxed PmY4Mg5 crystal (GGA-PBE, Alexandria via LeMat-Bulk).

It has space group P4/mmm (No. 123), with a = 3.812 Å, b = 3.812 Å, c = 19.101 Å, α = 90.00°, β = 90.00° and γ = 90.00°. The asymmetric unit holds Pm at (0.000, 0.000, 0.000), Y at (0.000, 0.000, 0.203), Y at (0.000, 0.000, 0.401), Mg at (0.500, 0.500, 0.104), Mg at (0.500, 0.500, 0.302) and Mg at (0.500, 0.500, 0.500).

The calculation puts the calculated volume at 277.63 Å³ per cell. The total magnetization comes out at 0.00 μB per formula unit. The formation energy from the elements is -0.11 eV/atom.

***

# BaEuHgSb

A relaxed BaEuHgSb crystal (GGA-PBE, Alexandria via LeMat-Bulk).

It has space group F-43m (No. 216), with a = 8.177 Å, b = 8.177 Å, c = 8.177 Å, α = 90.00°, β = 90.00° and γ = 90.00°. The asymmetric unit holds Ba at (0.000, 0.000, 0.000), Eu at (0.000, 0.000, 0.500), Hg at (0.250, 0.250, 0.250) and Sb at (0.250, 0.250, 0.750).

For the formation energy (no corrections), the calculation gives -0.745 eV per atom. The calculation puts the calculated volume at 546.83 Å³ per cell. The total magnetization comes out at 7.52 μB per formula unit.

***

# TiGa6

A relaxed TiGa6 crystal (GGA-PBE, Alexandria via LeMat-Bulk).

It has space group Im-3m (No. 229), with a = 7.019 Å, b = 7.019 Å, c = 7.019 Å, α = 90.00°, β = 90.00° and γ = 90.00°. The asymmetric unit holds Ti at (0.000, 0.000, 0.000) and Ga at (0.000, 0.250, 0.500).

The calculation puts the calculated volume at 345.82 Å³ per cell. The total magnetization comes out at 2.09 μB per formula unit. The formation energy from the elements is 0.58 eV/atom.

***

# SrGaTe2N

A relaxed SrGaTe2N crystal (GGA-PBE, Alexandria via LeMat-Bulk).

It has space group P4/mmm (No. 123), with a = 6.334 Å, b = 6.334 Å, c = 4.920 Å, α = 90.00°, β = 90.00° and γ = 90.00°. The asymmetric unit holds Sr at (0.000, 0.000, 0.000), Ga at (0.500, 0.500, 0.500), Te at (0.000, 0.500, 0.000) and N at (0.000, 0.000, 0.500).

For the formation energy (no corrections), the calculation gives 0.661 eV per atom. The calculation puts the calculated volume at 197.38 Å³ per cell. The total magnetization comes out at 3.79 μB per formula unit. For the energy above the lowest structure with this stoichiometry, the calculation gives 0.7784 eV/atom.

***

# Sn2BiCl

A relaxed Sn2BiCl crystal (GGA-PBE, Alexandria via LeMat-Bulk).

It has space group I-42d (No. 122), with a = 5.442 Å, b = 5.442 Å, c = 18.263 Å, α = 90.00°, β = 90.00° and γ = 90.00°. The asymmetric unit holds Sn at (0.182, 0.250, 0.125), Bi at (0.000, 0.000, 0.500) and Cl at (0.000, 0.000, 0.000).

For the formation energy (no corrections), the calculation gives -0.020 eV per atom. The calculation puts the calculated volume at 540.96 Å³ per cell. The total magnetization comes out at 0.00 μB per formula unit. For the energy above the lowest structure with this stoichiometry, the calculation gives 0.1818 eV/atom.

***

# Pm5Dy4Tl4

A relaxed Pm5Dy4Tl4 crystal (GGA-PBE, Alexandria via LeMat-Bulk).

It has space group I4/m (No. 87), with a = 12.542 Å, b = 12.542 Å, c = 5.096 Å, α = 90.00°, β = 90.00° and γ = 90.00°. The asymmetric unit holds Pm at (0.000, 0.000, 0.000), Pm at (0.103, 0.192, 0.500), Dy at (0.094, 0.396, 0.000) and Tl at (0.100, 0.763, 0.000).

The calculation puts the calculated volume at 801.59 Å³ per cell. The total magnetization comes out at 0.00 μB per formula unit. The formation energy from the elements is -0.25 eV/atom.

***

# Ta7Ru6

A relaxed Ta7Ru6 crystal (GGA-PBE, Alexandria via LeMat-Bulk).

It has space group R-3m (No. 166, hexagonal axes), with a = 5.3630 Å, b = 5.3630 Å, c = 26.6834 Å, α = 90.00°, β = 90.00° and γ = 120.00°. The asymmetric unit holds Ta at (0.0000, 0.0000, 0.0000), Ta at (0.0031, 0.5015, 0.4154), Ru at (0.0000, 0.0000, 0.1688), Ru at (0.0000, 0.0000, 0.3444) and Ru at (0.0000, 0.0000, 0.4531).

The calculation puts the calculated volume at 664.65 Å³ per cell. The total magnetization comes out at 0.00 μB per formula unit. The formation energy from the elements is 0.33 eV/atom.

***

# Cd2Ga2Hg7

A relaxed Cd2Ga2Hg7 crystal (GGA-PBE, Alexandria via LeMat-Bulk).

It has space group C2/m (No. 12), with a = 12.578 Å, b = 10.513 Å, c = 4.785 Å, α = 90.00°, β = 98.12° and γ = 90.00°. The asymmetric unit holds Cd at (0.229, 0.000, 0.491), Ga at (0.000, 0.132, 0.000), Hg at (0.000, 0.000, 0.500), Hg at (0.075, 0.500, 0.783) and Hg at (0.169, 0.280, 0.212).

The calculation puts the calculated volume at 626.37 Å³ per cell. The total magnetization comes out at 0.00 μB per formula unit. The formation energy from the elements is 0.10 eV/atom.

***

# LuPaAgRh

A relaxed LuPaAgRh crystal (GGA-PBE, Alexandria via LeMat-Bulk).

It has space group F-43m (No. 216), with a = 7.014 Å, b = 7.014 Å, c = 7.014 Å, α = 90.00°, β = 90.00° and γ = 90.00°. The asymmetric unit holds Lu at (0.000, 0.000, 0.000), Pa at (0.000, 0.000, 0.500), Ag at (0.250, 0.250, 0.750) and Rh at (0.250, 0.250, 0.250).

The calculation puts the calculated volume at 345.04 Å³ per cell. The total magnetization comes out at 0.68 μB per formula unit. The formation energy from the elements is -0.30 eV/atom.

***

# SrMg2ScNi

A relaxed SrMg2ScNi crystal (GGA-PBE, Alexandria via LeMat-Bulk).

It has space group P4/mmm (No. 123), with a = 5.129 Å, b = 5.129 Å, c = 4.814 Å, α = 90.00°, β = 90.00° and γ = 90.00°. The asymmetric unit holds Sr at (0.000, 0.000, 0.000), Mg at (0.000, 0.500, 0.500), Sc at (0.500, 0.500, 0.000) and Ni at (0.500, 0.500, 0.500).

The calculation puts the calculated volume at 126.66 Å³ per cell. The total magnetization comes out at 0.00 μB per formula unit. The formation energy from the elements is -0.09 eV/atom.

***

# Fe3Ni6Ir

A relaxed Fe3Ni6Ir crystal (GGA-PBE, Alexandria via LeMat-Bulk).

It has space group P2_1/m (No. 11), with a = 6.737 Å, b = 4.137 Å, c = 8.802 Å, α = 90.00°, β = 108.84° and γ = 90.00°. The asymmetric unit holds Fe at (0.098, 0.250, 0.228), Fe at (0.300, 0.250, 0.033), Fe at (0.305, 0.750, 0.364), Ni at (0.102, 0.750, 0.066), Ni at (0.106, 0.250, 0.742), Ni at (0.304, 0.750, 0.869), Ni at (0.309, 0.250, 0.535), Ni at (0.495, 0.250, 0.329), Ni at (0.499, 0.750, 0.165) and Ir at (0.105, 0.750, 0.570).

The calculation puts the calculated volume at 232.19 Å³ per cell. The total magnetization comes out at 12.41 μB per formula unit. The formation energy from the elements is -0.04 eV/atom. For the energy above the lowest structure with this stoichiometry, the calculation gives 0.0000 eV/atom.